Record 1
# CeDyB

A geometry-optimized CeDyB structure (PBE-GGA, the Alexandria database).

The total energy is -17.49 eV/f.u.

Unit cell a=11.882 b=3.676 c=7.725 alpha=90.00 beta=129.65 gamma=90.00
Space group C2/m (No. 12)
Asymmetric unit:
Ce  0.196  0.000  0.075 x4
Dy  0.084  0.500  0.375 x4
B  0.080  0.000  0.632 x4

---

Record 2
# Ce3DyB2N6

A geometry-optimized Ce3DyB2N6 structure (PBE-GGA, the Alexandria database).

The total energy is -99.67 eV/f.u.

Unit cell a=5.5970 b=5.5970 c=6.3209 alpha=90.00 beta=90.00 gamma=120.00
Space group P-3m1 (No. 164)
Asymmetric unit:
Ce  0.0000  0.0000  0.0000 x1
Ce  0.3333  0.6667  0.6662 x2
Dy  0.0000  0.0000  0.5000 x1
B  0.3333  0.6667  0.2432 x2
N  0.1836  0.3672  0.2679 x6

---

Record 3
# CeDy2B2Ru5

A geometry-optimized CeDy2B2Ru5 structure (PBE-GGA, the Alexandria database).

The total energy is -79.22 eV/f.u.

Unit cell a=9.810 b=9.810 c=3.196 alpha=90.00 beta=90.00 gamma=90.00
Space group P4/mbm (No. 127)
Asymmetric unit:
Ce  0.000  0.000  0.000 x2
Dy  0.173  0.327  0.000 x4
B  0.120  0.620  0.000 x4
Ru  0.000  0.500  0.500 x2
Ru  0.072  0.777  0.500 x8

---

Record 4
# CeEr2B6

A geometry-optimized CeEr2B6 structure (PBE-GGA, the Alexandria database).

The total energy is -59.93 eV/f.u.

Unit cell a=5.6441 b=5.6441 c=3.9171 alpha=90.00 beta=90.00 gamma=120.00
Space group P6/mmm (No. 191)
Asymmetric unit:
Ce  0.0000  0.0000  0.0000 x1
Er  0.3333  0.6667  0.0000 x2
B  0.0000  0.3347  0.5000 x6

---

Record 5
# CeErB4

A geometry-optimized CeErB4 structure (PBE-GGA, the Alexandria database).

The total energy is -35.58 eV/f.u.

Unit cell a=6.754 b=6.754 c=6.754 alpha=90.00 beta=90.00 gamma=90.00
Space group F-43m (No. 216)
Asymmetric unit:
Ce  0.000  0.000  0.000 x4
Er  0.250  0.250  0.250 x4
B  0.157  0.157  0.657 x16

---

Record 6
# CeErB12

A geometry-optimized CeErB12 structure (PBE-GGA, the Alexandria database).

The total energy is -96.79 eV/f.u.

Unit cell a=4.102 b=4.102 c=8.206 alpha=90.00 beta=90.00 gamma=90.00
Space group P4/mmm (No. 123)
Asymmetric unit:
Ce  0.000  0.000  0.000 x1
Er  0.000  0.000  0.500 x1
B  0.199  0.500  0.252 x8
B  0.500  0.500  0.100 x2
B  0.500  0.500  0.401 x2

---

Record 7
# CeErB

A geometry-optimized CeErB structure (PBE-GGA, the Alexandria database).

The total energy is -17.48 eV/f.u.

Unit cell a=11.775 b=3.619 c=7.757 alpha=90.00 beta=129.41 gamma=90.00
Space group C2/m (No. 12)
Asymmetric unit:
Ce  0.193  0.000  0.077 x4
Er  0.085  0.500  0.379 x4
B  0.081  0.000  0.631 x4

---

Record 8
# Ce3ErB2N6

A geometry-optimized Ce3ErB2N6 structure (PBE-GGA, the Alexandria database).

The total energy is -99.94 eV/f.u.

Unit cell a=5.5766 b=5.5766 c=6.3071 alpha=90.00 beta=90.00 gamma=120.00
Space group P-3m1 (No. 164)
Asymmetric unit:
Ce  0.0000  0.0000  0.0000 x1
Ce  0.3333  0.6667  0.6654 x2
Er  0.0000  0.0000  0.5000 x1
B  0.3333  0.6667  0.2449 x2
N  0.1831  0.3661  0.2705 x6

---

Record 9
# CeEr2B2Ru5

A geometry-optimized CeEr2B2Ru5 structure (PBE-GGA, the Alexandria database).

The total energy is -79.40 eV/f.u.

Unit cell a=9.774 b=9.774 c=3.187 alpha=90.00 beta=90.00 gamma=90.00
Space group P4/mbm (No. 127)
Asymmetric unit:
Ce  0.000  0.000  0.000 x2
Er  0.172  0.328  0.000 x4
B  0.120  0.620  0.000 x4
Ru  0.000  0.500  0.500 x2
Ru  0.073  0.777  0.500 x8

---

Record 10
# CeEuB12

A geometry-optimized CeEuB12 structure (PBE-GGA, the Alexandria database).

The total energy is -103.27 eV/f.u.

Unit cell a=5.851 b=5.851 c=4.134 alpha=90.00 beta=90.00 gamma=90.00
Space group P4/mmm (No. 123)
Asymmetric unit:
Ce  0.000  0.000  0.000 x1
Eu  0.500  0.500  0.000 x1
B  0.000  0.500  0.200 x4
B  0.150  0.350  0.500 x8

---

Record 11
# CeB3F12

A geometry-optimized CeB3F12 structure (PBE-GGA, the Alexandria database).

The total energy is -98.65 eV/f.u.

Unit cell a=9.2830 b=9.2830 c=5.8548 alpha=90.00 beta=90.00 gamma=120.00
Space group P6_3/m (No. 176)
Asymmetric unit:
Ce  0.3333  0.6667  0.2500 x2
B  0.0921  0.3832  0.7500 x6
F  0.0253  0.2171  0.7500 x6
F  0.0321  0.5663  0.2500 x6
F  0.1964  0.4607  0.5525 x12

---

Record 12
# CeB2F8

A geometry-optimized CeB2F8 structure (PBE-GGA, the Alexandria database).

The total energy is -66.66 eV/f.u.

Unit cell a=9.943 b=5.078 c=6.261 alpha=90.00 beta=114.43 gamma=90.00
Space group C2/m (No. 12)
Asymmetric unit:
Ce  0.000  0.000  0.000 x2
B  0.200  0.000  0.694 x4
F  0.142  0.224  0.760 x8
F  0.142  0.500  0.183 x4
F  0.162  0.000  0.451 x4

---

Record 13
# CeFe3B

A geometry-optimized CeFe3B structure (PBE-GGA, the Alexandria database).

The total energy is -36.52 eV/f.u.

Unit cell a=6.085 b=8.930 c=5.008 alpha=90.00 beta=90.00 gamma=90.00
Space group Cmcm (No. 63)
Asymmetric unit:
Ce  0.000  0.055  0.250 x4
Fe  0.000  0.500  0.000 x4
Fe  0.192  0.235  0.750 x8
B  0.000  0.328  0.250 x4

---

Record 14
# CeFe9B4

A geometry-optimized CeFe9B4 structure (PBE-GGA, the Alexandria database).

The total energy is -111.16 eV/f.u.

Unit cell a=7.323 b=7.323 c=11.102 alpha=90.00 beta=90.00 gamma=90.00
Space group I4/m (No. 87)
Asymmetric unit:
Ce  0.000  0.000  0.247 x4
Fe  0.000  0.500  0.000 x4
Fe  0.088  0.199  0.500 x8
Fe  0.106  0.193  0.000 x8
Fe  0.122  0.649  0.178 x16
B  0.130  0.683  0.364 x16

---

Record 15
# CeFe2B

A geometry-optimized CeFe2B structure (PBE-GGA, the Alexandria database).

The total energy is -29.09 eV/f.u.

Unit cell a=2.9362 b=2.9362 c=21.7918 alpha=90.00 beta=90.00 gamma=120.00
Space group R-3m (No. 166, hexagonal axes)
Asymmetric unit:
Ce  0.0000  0.0000  0.0000 x3
Fe  0.0000  0.0000  0.2147 x6
B  0.0000  0.0000  0.5000 x3

---

Record 16
# CeFeB2

A geometry-optimized CeFeB2 structure (PBE-GGA, the Alexandria database).

The total energy is -29.61 eV/f.u.

Unit cell a=5.949 b=5.344 c=5.863 alpha=90.00 beta=90.00 gamma=90.00
Space group Pnma (No. 62)
Asymmetric unit:
Ce  0.018  0.250  0.129 x4
Fe  0.199  0.750  0.344 x4
B  0.116  0.090  0.551 x8

---

Record 17
# CeFe6B3

A geometry-optimized CeFe6B3 structure (PBE-GGA, the Alexandria database).

The total energy is -78.50 eV/f.u.

Unit cell a=5.043 b=5.052 c=5.582 alpha=86.82 beta=64.07 gamma=60.95
Space group P1 (No. 1)
Asymmetric unit:
Ce  0.000  0.000  0.000 x1
Fe  0.086  0.483  0.813 x1
Fe  0.247  0.132  0.424 x1
Fe  0.278  0.612  0.329 x1
Fe  0.627  0.472  0.795 x1
Fe  0.680  0.956  0.675 x1
Fe  0.782  0.591  0.335 x1
B  0.322  0.297  0.059 x1
B  0.554  0.333  0.500 x1
B  0.569  0.795  0.063 x1

---

Record 18
# CeFeB2

A geometry-optimized CeFeB2 structure (PBE-GGA, the Alexandria database).

The total energy is -28.62 eV/f.u.

Unit cell a=3.4697 b=3.4697 c=14.3367 alpha=90.00 beta=90.00 gamma=120.00
Space group R-3m (No. 166, hexagonal axes)
Asymmetric unit:
Ce  0.0000  0.0000  0.0000 x3
Fe  0.0000  0.0000  0.5000 x3
B  0.0000  0.0000  0.1912 x6

---

Record 19
# CeFeB4

A geometry-optimized CeFeB4 structure (PBE-GGA, the Alexandria database).

The total energy is -44.44 eV/f.u.

Unit cell a=5.943 b=11.524 c=3.459 alpha=90.00 beta=90.00 gamma=90.00
Space group Pbam (No. 55)
Asymmetric unit:
Ce  0.126  0.150  0.000 x4
Fe  0.134  0.410  0.000 x4
B  0.024  0.688  0.500 x4
B  0.111  0.545  0.500 x4
B  0.141  0.967  0.500 x4
B  0.221  0.817  0.500 x4